Entry 1:
A relaxed structure of Li2FeSi, computed with PBE-GGA.

Cell: 2.709 3.917 4.430 Å, 90.00 90.00 90.00°
Positions (direct):
Li1 0.500 0.500 0.000
Fe1 0.000 0.500 0.500
Li2 0.000 0.000 0.000
Si1 0.500 0.000 0.500

## Properties
Raw total energy   -4.5540 eV/atom
Mass density   3456 kg/m3
Energy relative to the elements, uncorrected   -126 meV per atom

---

Entry 2:
A relaxed structure of NbGe3Pd, computed with PBE-GGA.

Cell: 4.971 4.971 4.971 Å, 90.00 90.00 90.00°
Positions (direct):
Ge1 0.500 0.000 0.000
Ge2 0.000 0.500 0.000
Pd1 0.500 0.500 0.500
Ge3 0.000 0.000 0.500
Nb1 0.000 0.000 0.000

## Properties
ΔH_f (0 K)   645 meV/atom
Raw total energy   -5.1779 eV/atom
Mass density   5640 kg/m3

---

Entry 3:
A relaxed structure of Tb2AlBRh6, computed with PBE-GGA.

Cell: 6.173 6.173 6.180 Å, 59.98 59.98 90.00°
Positions (direct):
Rh1 0.265 0.266 0.000
Rh2 0.735 0.734 0.000
Tb1 0.250 0.750 0.500
B1 0.500 0.500 0.000
Rh3 0.735 0.735 0.531
Tb2 0.750 0.250 0.500
Al1 0.000 0.000 0.000
Rh4 0.266 0.735 0.000
Rh5 0.734 0.265 0.000
Rh6 0.265 0.265 0.469

## Properties
ΔH_f (0 K)   -627 meV/atom
Raw total energy   -7.0062 eV/atom
Mass density   9710 kg/m3

---

Entry 4:
A relaxed structure of Ni2MoOs, computed with PBE-GGA.

Cell: 8.783 8.783 8.783 Å, 17.40 17.40 17.40°
Positions (direct):
Mo1 0.750 0.750 0.750
Os1 0.250 0.250 0.250
Ni1 0.502 0.502 0.502
Ni2 0.998 0.998 0.998

## Properties
ΔH_f (0 K)   166 meV/atom
Raw total energy   -8.2395 eV/atom
Mass density   12671 kg/m3

---

Entry 5:
A relaxed structure of LaCoNi2, computed with PBE-GGA.

Cell: 3.097 3.124 6.580 Å, 90.00 90.00 90.00°
Positions (direct):
Ni1 0.000 0.000 0.062
Ni2 0.500 0.500 0.258
La1 0.500 0.500 0.757
Co1 0.000 0.000 0.423

## Properties
ΔH_f (0 K)   167 meV/atom
Raw total energy   -5.7321 eV/atom
Mass density   8221 kg/m3

---

Entry 6:
A relaxed structure of TbErTm2Sc2, computed with PBE-GGA.

Cell: 5.418 9.364 6.745 Å, 90.00 90.00 90.00°
Positions (direct):
Er1 0.000 0.000 0.000
Sc1 0.000 0.333 0.750
Tm1 0.500 0.166 0.751
Er2 0.500 0.500 0.500
Tm2 0.000 0.334 0.251
Tb1 0.500 0.500 0.000
Sc2 0.500 0.833 0.750
Sc3 0.000 0.667 0.250
Tb2 0.000 0.000 0.500
Tm3 0.500 0.834 0.249
Tm4 0.000 0.666 0.749
Sc4 0.500 0.167 0.250

## Properties
ΔH_f (0 K)   75 meV/atom
Raw total energy   -5.0583 eV/atom
Mass density   7316 kg/m3